Below is a relaxed NdPd2Au3 crystal, with properties calculated at the PBE level.

Properties
V ... 19.3 Å³/atom
DFT formation energy ... -2.54 eV per formula unit
Uncorrected energy ... -4.5883 eV/atom
Mass density ... 13.6 g cm⁻³

Cell lengths 6.1485, 6.1485, 21.2297 Å; angles 90.00, 90.00, 120.00 degrees
Space group R-3m (No. 166, hexagonal axes)
Unique sites:
Nd  0.0000  0.0000  0.2257 [6 per cell]
Pd  0.0000  0.0000  0.0000 [3 per cell]
Pd  0.0000  0.5000  0.0000 [9 per cell]
Au  0.0080  0.5040  0.2265 [18 per cell]

=====

Below is a relaxed Nd2Pd3Au4 crystal, with properties calculated at the PBE level.

Properties
V ... 19.9 Å³/atom
DFT formation energy ... -6.33 eV per formula unit
Uncorrected energy ... -4.9501 eV/atom
Mass density ... 12.9 g cm⁻³

Cell lengths 5.443, 9.414, 13.998 Å; angles 90.00, 90.00, 90.00 degrees
Space group Fmmm (No. 69)
Unique sites:
Nd  0.000  0.000  0.131 [8 per cell]
Pd  0.000  0.000  0.500 [4 per cell]
Pd  0.250  0.250  0.000 [8 per cell]
Au  0.000  0.160  0.329 [16 per cell]

=====

Below is a relaxed Nd2Pd9Au6 crystal, with properties calculated at the PBE level.

Properties
V ... 20.7 Å³/atom
DFT formation energy ... -5.30 eV per formula unit
Uncorrected energy ... -4.7788 eV/atom
Mass density ... 11.5 g cm⁻³

Cell lengths 5.4388, 5.4388, 13.7042 Å; angles 90.00, 90.00, 120.00 degrees
Space group P6/mmm (No. 191)
Unique sites:
Nd  0.0000  0.0000  0.2101 [2 per cell]
Pd  0.0000  0.5000  0.0000 [3 per cell]
Pd  0.0000  0.5000  0.3334 [6 per cell]
Au  0.3333  0.6667  0.1658 [4 per cell]
Au  0.3333  0.6667  0.5000 [2 per cell]